Computed, not measured: a geometry-optimized Zn3OsC structure at the PBE level of DFT.

Properties
Energy of formation from the pure elements ... 2031.9 meV/atom
Crystal system ... cubic
VASP energy ... -14.1 eV for the cell shown
M_tot ... 0.95 μB per formula unit
E above lowest polymorph ... 0.957 eV/atom

Unit cell a=4.813 b=4.813 c=4.813 alpha=90.00 beta=90.00 gamma=90.00
Element x y z (fractional)
C 0.500 0.500 0.500
Os 0.000 0.000 0.000
Zn 0.000 0.000 0.500
Zn 0.000 0.500 0.000
Zn 0.500 0.000 0.000